# MgC2S PBE optimized geometry
# Offset from the most stable computed form = 127.1 kJ/mol of atoms
# Magnetic moment = 0.00 μB/atom
# ΔE_f (raw) = 2137 meV per atom
# D(E_F) = 7.355 states/eV per cell
data_MgC2S
_chemical_formula_sum 'Mg4 C8 S4'
_cell_length_a 5.6350
_cell_length_b 5.6350
_cell_length_c 5.6350
_cell_angle_alpha 90.00
_cell_angle_beta 90.00
_cell_angle_gamma 90.00
_space_group_name_H-M_alt 'F m -3 m'
_space_group_IT_number 225
_space_group_name_Hall '-F 4 2 3'
loop_
_atom_site_label
_atom_site_type_symbol
_atom_site_fract_x
_atom_site_fract_y
_atom_site_fract_z
Mg1 Mg 0.0000 0.0000 0.0000
C1 C 0.2500 0.2500 0.2500
S1 S 0.0000 0.0000 0.5000



# MgC3S PBE optimized geometry
# Offset from the most stable computed form = 0.0 kJ/mol of atoms
# Magnetic moment = 0.00 μB/atom
# ΔE_f (raw) = 2232 meV per atom
# D(E_F) = 2.468 states/eV per cell
data_MgC3S
_chemical_formula_sum 'Mg1 C3 S1'
_cell_length_a 3.6644
_cell_length_b 3.6644
_cell_length_c 3.6644
_cell_angle_alpha 90.00
_cell_angle_beta 90.00
_cell_angle_gamma 90.00
_space_group_name_H-M_alt 'P m -3 m'
_space_group_IT_number 221
_space_group_name_Hall '-P 4 2 3'
loop_
_atom_site_label
_atom_site_type_symbol
_atom_site_fract_x
_atom_site_fract_y
_atom_site_fract_z
Mg1 Mg 0.0000 0.0000 0.0000
C1 C 0.0000 0.5000 0.5000
S1 S 0.5000 0.5000 0.5000



# MgC3S PBE optimized geometry
# Offset from the most stable computed form = 103.0 kJ/mol of atoms
# Magnetic moment = 0.00 μB/atom
# ΔE_f (raw) = 3299 meV per atom
# D(E_F) = 4.196 states/eV per cell
data_MgC3S
_chemical_formula_sum 'Mg1 C3 S1'
_cell_length_a 4.1587
_cell_length_b 4.1587
_cell_length_c 4.1587
_cell_angle_alpha 90.00
_cell_angle_beta 90.00
_cell_angle_gamma 90.00
_space_group_name_H-M_alt 'P m -3 m'
_space_group_IT_number 221
_space_group_name_Hall '-P 4 2 3'
loop_
_atom_site_label
_atom_site_type_symbol
_atom_site_fract_x
_atom_site_fract_y
_atom_site_fract_z
Mg1 Mg 0.0000 0.0000 0.0000
C1 C 0.0000 0.0000 0.5000
S1 S 0.5000 0.5000 0.5000



Which value of magnetic moment does entry 3 give? 0.00 μB/atom